DFT (PBE) results for GeS2F after structural relaxation.

Values from the calculation:
The formation energy (no corrections) is 0.081 eV/atom. Its total energy is -3.605 eV per atom. The energy above the most stable polymorph in this dataset comes out at 788.1 meV per atom.

```
GeS2F
1.0
0.000 3.067 3.067
3.067 0.000 3.067
3.067 3.067 0.000
Ge S F
1 2 1
Cartesian
0.000 0.000 0.000 Ge
1.533 1.533 1.533 S
4.600 4.600 4.600 S
3.067 3.067 3.067 F
```